Record 1
A plane-wave DFT calculation with PBE was carried out for Ac3Pr2Nd5 after structural relaxation.

Cell: 9.343 9.343 10.452 Å, 104.89 104.89 105.77°
Positions (direct):
Ac: 0.003 0.997 0.750
Ac: 0.192 0.444 0.955
Ac: 0.444 0.192 0.455
Ac: 0.556 0.808 0.545
Ac: 0.808 0.556 0.045
Ac: 0.997 0.003 0.250
Pr: 0.038 0.300 0.575
Pr: 0.300 0.038 0.075
Pr: 0.700 0.962 0.925
Pr: 0.962 0.700 0.425
Nd: 0.182 0.431 0.342
Nd: 0.235 0.765 0.250
Nd: 0.256 0.744 0.750
Nd: 0.431 0.182 0.842
Nd: 0.473 0.527 0.750
Nd: 0.527 0.473 0.250
Nd: 0.569 0.818 0.158
Nd: 0.744 0.256 0.250
Nd: 0.765 0.235 0.750
Nd: 0.818 0.569 0.658

Computed properties:
space group: C2/c, No. 15
energy of formation from the pure elements: 4.429 kcal/mol of atoms
size of the total moment: 0.00 μB per formula unit
total DFT energy (no corrections): -4.380 eV/atom
density of states at the Fermi level: 32.80 states/eV/cell

=====

Record 2
A plane-wave DFT calculation with PBE was carried out for AcPr6Nd12 after structural relaxation.

Cell: 9.047 9.047 9.047 Å, 99.61 99.61 99.61°
Positions (direct):
Ac: 0.000 0.000 0.000
Pr: 0.099 0.099 0.656
Pr: 0.099 0.656 0.099
Pr: 0.344 0.901 0.901
Pr: 0.656 0.099 0.099
Pr: 0.901 0.344 0.901
Pr: 0.901 0.901 0.344
Nd: 0.081 0.355 0.355
Nd: 0.241 0.500 0.759
Nd: 0.241 0.759 0.500
Nd: 0.355 0.081 0.355
Nd: 0.355 0.355 0.081
Nd: 0.500 0.241 0.759
Nd: 0.500 0.759 0.241
Nd: 0.645 0.645 0.919
Nd: 0.645 0.919 0.645
Nd: 0.759 0.241 0.500
Nd: 0.759 0.500 0.241
Nd: 0.919 0.645 0.645

Computed properties:
space group: R-3m, No. 166
energy of formation from the pure elements: 4.167 kcal/mol of atoms
size of the total moment: 0.00 μB per formula unit
total DFT energy (no corrections): -4.556 eV/atom
density of states at the Fermi level: 34.28 states/eV/cell

=====

Record 3
A plane-wave DFT calculation with PBE was carried out for AcPr5Nd4 after structural relaxation.

Cell: 3.748 3.748 26.233 Å, 90.00 90.00 90.00°
Positions (direct):
Ac: 0.000 0.000 0.000
Pr: 0.500 0.500 0.106
Pr: 0.500 0.500 0.303
Pr: 0.500 0.500 0.500
Pr: 0.500 0.500 0.697
Pr: 0.500 0.500 0.894
Nd: 0.000 0.000 0.205
Nd: 0.000 0.000 0.401
Nd: 0.000 0.000 0.599
Nd: 0.000 0.000 0.795

Computed properties:
space group: P4/mmm, No. 123
energy of formation from the pure elements: 0.510 kcal/mol of atoms
size of the total moment: 0.00 μB per formula unit
total DFT energy (no corrections): -4.686 eV/atom
density of states at the Fermi level: 17.01 states/eV/cell

=====

Record 4
A plane-wave DFT calculation with PBE was carried out for Ac2Pr7Nd3 after structural relaxation.

Cell: 6.627 3.706 18.480 Å, 90.00 96.48 90.00°
Positions (direct):
Ac: 0.058 0.000 0.172
Ac: 0.942 0.000 0.828
Pr: 0.000 0.500 0.500
Pr: 0.229 0.000 0.665
Pr: 0.260 0.000 0.999
Pr: 0.277 0.500 0.339
Pr: 0.723 0.500 0.661
Pr: 0.740 0.000 0.001
Pr: 0.771 0.000 0.335
Nd: 0.452 0.500 0.838
Nd: 0.500 0.000 0.500
Nd: 0.548 0.500 0.162

Computed properties:
space group: P2/m, No. 10
energy of formation from the pure elements: 1.785 kcal/mol of atoms
size of the total moment: 0.00 μB per formula unit
total DFT energy (no corrections): -4.587 eV/atom
density of states at the Fermi level: 19.52 states/eV/cell

=====

Record 5
A plane-wave DFT calculation with PBE was carried out for Ac12PrNd3 after structural relaxation.

Cell: 5.545 5.545 22.105 Å, 90.00 90.00 90.00°
Positions (direct):
Ac: 0.000 0.000 0.000
Ac: 0.000 0.000 0.250
Ac: 0.000 0.000 0.500
Ac: 0.000 0.000 0.750
Ac: 0.000 0.500 0.125
Ac: 0.000 0.500 0.375
Ac: 0.000 0.500 0.625
Ac: 0.000 0.500 0.875
Ac: 0.500 0.000 0.125
Ac: 0.500 0.000 0.375
Ac: 0.500 0.000 0.625
Ac: 0.500 0.000 0.875
Pr: 0.500 0.500 0.000
Nd: 0.500 0.500 0.250
Nd: 0.500 0.500 0.500
Nd: 0.500 0.500 0.750

Computed properties:
space group: P4/mmm, No. 123
energy of formation from the pure elements: 0.482 kcal/mol of atoms
size of the total moment: 0.00 μB per formula unit
total DFT energy (no corrections): -4.253 eV/atom
density of states at the Fermi level: 28.19 states/eV/cell

=====

Record 6
A plane-wave DFT calculation with PBE was carried out for Ac3Pr2Nd3 after structural relaxation.

Cell: 11.446 11.446 11.446 Å, 153.10 152.63 38.76°
Positions (direct):
Ac: 0.000 0.000 0.000
Ac: 0.374 0.874 0.500
Ac: 0.626 0.126 0.500
Pr: 0.249 0.249 0.000
Pr: 0.751 0.751 0.000
Nd: 0.128 0.628 0.500
Nd: 0.500 0.500 0.000
Nd: 0.872 0.372 0.500

Computed properties:
space group: Immm, No. 71
energy of formation from the pure elements: 0.621 kcal/mol of atoms
size of the total moment: 0.00 μB per formula unit
total DFT energy (no corrections): -4.497 eV/atom
density of states at the Fermi level: 14.09 states/eV/cell

=====

Record 7
A plane-wave DFT calculation with PBE was carried out for AcPr6Nd12 after structural relaxation.

Cell: 8.860 8.860 8.860 Å, 89.17 89.17 89.17°
Positions (direct):
Ac: 0.000 0.000 0.000
Pr: 0.095 0.263 0.692
Pr: 0.263 0.692 0.095
Pr: 0.308 0.905 0.737
Pr: 0.692 0.095 0.263
Pr: 0.737 0.308 0.905
Pr: 0.905 0.737 0.308
Nd: 0.016 0.361 0.199
Nd: 0.199 0.016 0.361
Nd: 0.223 0.567 0.463
Nd: 0.361 0.199 0.016
Nd: 0.433 0.537 0.777
Nd: 0.463 0.223 0.567
Nd: 0.537 0.777 0.433
Nd: 0.567 0.463 0.223
Nd: 0.639 0.801 0.984
Nd: 0.777 0.433 0.537
Nd: 0.801 0.984 0.639
Nd: 0.984 0.639 0.801

Computed properties:
space group: R-3, No. 148
energy of formation from the pure elements: 2.974 kcal/mol of atoms
size of the total moment: 0.00 μB per formula unit
total DFT energy (no corrections): -4.608 eV/atom
density of states at the Fermi level: 29.02 states/eV/cell

=====

Record 8
A plane-wave DFT calculation with PBE was carried out for AcPrNd3 after structural relaxation.

Cell: 10.554 3.769 18.730 Å, 90.00 90.00 90.00°
Positions (direct):
Ac: 0.124 0.250 0.150
Ac: 0.376 0.750 0.650
Ac: 0.624 0.250 0.350
Ac: 0.876 0.750 0.850
Pr: 0.121 0.250 0.549
Pr: 0.379 0.750 0.049
Pr: 0.621 0.250 0.951
Pr: 0.879 0.750 0.451
Nd: 0.125 0.250 0.351
Nd: 0.126 0.250 0.750
Nd: 0.130 0.250 0.951
Nd: 0.370 0.750 0.451
Nd: 0.374 0.750 0.250
Nd: 0.375 0.750 0.851
Nd: 0.625 0.250 0.149
Nd: 0.626 0.250 0.750
Nd: 0.630 0.250 0.549
Nd: 0.870 0.750 0.049
Nd: 0.874 0.750 0.250
Nd: 0.875 0.750 0.649

Computed properties:
space group: Pnma, No. 62
energy of formation from the pure elements: 0.481 kcal/mol of atoms
size of the total moment: 0.00 μB per formula unit
total DFT energy (no corrections): -4.617 eV/atom
density of states at the Fermi level: 29.32 states/eV/cell

=====

Record 9
A plane-wave DFT calculation with PBE was carried out for AcPrNd5 after structural relaxation.

Cell: 6.829 6.829 11.912 Å, 102.55 102.55 97.21°
Positions (direct):
Ac: 0.000 0.500 0.000
Ac: 0.500 0.000 0.500
Pr: 0.241 0.759 0.750
Pr: 0.759 0.241 0.250
Nd: 0.052 0.195 0.666
Nd: 0.195 0.052 0.166
Nd: 0.225 0.431 0.465
Nd: 0.418 0.582 0.250
Nd: 0.431 0.225 0.965
Nd: 0.569 0.775 0.035
Nd: 0.582 0.418 0.750
Nd: 0.775 0.569 0.535
Nd: 0.805 0.948 0.834
Nd: 0.948 0.805 0.334

Computed properties:
space group: C2/c, No. 15
energy of formation from the pure elements: 1.878 kcal/mol of atoms
size of the total moment: 0.00 μB per formula unit
total DFT energy (no corrections): -4.594 eV/atom
density of states at the Fermi level: 21.44 states/eV/cell

=====

Record 10
A plane-wave DFT calculation with PBE was carried out for AcPr15Nd4 after structural relaxation.

Cell: 5.270 5.270 26.283 Å, 90.00 90.00 90.00°
Positions (direct):
Ac: 0.000 0.000 0.000
Pr: 0.000 0.500 0.103
Pr: 0.000 0.500 0.302
Pr: 0.000 0.500 0.500
Pr: 0.000 0.500 0.698
Pr: 0.000 0.500 0.897
Pr: 0.500 0.000 0.103
Pr: 0.500 0.000 0.302
Pr: 0.500 0.000 0.500
Pr: 0.500 0.000 0.698
Pr: 0.500 0.000 0.897
Pr: 0.500 0.500 0.000
Pr: 0.500 0.500 0.203
Pr: 0.500 0.500 0.401
Pr: 0.500 0.500 0.599
Pr: 0.500 0.500 0.797
Nd: 0.000 0.000 0.202
Nd: 0.000 0.000 0.401
Nd: 0.000 0.000 0.599
Nd: 0.000 0.000 0.798

Computed properties:
space group: P4/mmm, No. 123
energy of formation from the pure elements: 0.346 kcal/mol of atoms
size of the total moment: 0.00 μB per formula unit
total DFT energy (no corrections): -4.729 eV/atom
density of states at the Fermi level: 31.28 states/eV/cell

=====

Record 11
A plane-wave DFT calculation with PBE was carried out for Ac2Pr5Nd2 after structural relaxation.

Cell: 11.714 11.714 11.714 Å, 60.70 133.38 143.36°
Positions (direct):
Ac: 0.000 0.000 0.000
Ac: 0.000 0.500 0.500
Ac: 0.061 0.251 0.310
Ac: 0.940 0.751 0.690
Pr: 0.001 0.140 0.639
Pr: 0.001 0.417 0.917
Pr: 0.001 0.584 0.083
Pr: 0.001 0.862 0.362
Pr: 0.460 0.251 0.709
Pr: 0.500 0.084 0.083
Pr: 0.500 0.362 0.361
Pr: 0.500 0.640 0.638
Pr: 0.500 0.917 0.917
Pr: 0.542 0.751 0.291
Nd: 0.374 0.548 0.920
Nd: 0.374 0.953 0.326
Nd: 0.627 0.048 0.674
Nd: 0.627 0.453 0.080

Computed properties:
space group: Ima2, No. 46
energy of formation from the pure elements: 3.837 kcal/mol of atoms
size of the total moment: 0.00 μB per formula unit
total DFT energy (no corrections): -4.461 eV/atom
density of states at the Fermi level: 25.32 states/eV/cell

=====

Record 12
A plane-wave DFT calculation with PBE was carried out for Ac6PrNd after structural relaxation.

Cell: 5.537 5.537 11.077 Å, 90.00 90.00 90.00°
Positions (direct):
Ac: 0.000 0.000 0.000
Ac: 0.000 0.000 0.500
Ac: 0.000 0.500 0.249
Ac: 0.000 0.500 0.751
Ac: 0.500 0.000 0.249
Ac: 0.500 0.000 0.751
Pr: 0.500 0.500 0.500
Nd: 0.500 0.500 0.000

Computed properties:
space group: P4/mmm, No. 123
energy of formation from the pure elements: 0.421 kcal/mol of atoms
size of the total moment: 0.00 μB per formula unit
total DFT energy (no corrections): -4.257 eV/atom
density of states at the Fermi level: 13.67 states/eV/cell

=====

Please write out number 4 again, unchanged.
A plane-wave DFT calculation with PBE was carried out for Ac2Pr7Nd3 after structural relaxation.

Cell: 6.627 3.706 18.480 Å, 90.00 96.48 90.00°
Positions (direct):
Ac: 0.058 0.000 0.172
Ac: 0.942 0.000 0.828
Pr: 0.000 0.500 0.500
Pr: 0.229 0.000 0.665
Pr: 0.260 0.000 0.999
Pr: 0.277 0.500 0.339
Pr: 0.723 0.500 0.661
Pr: 0.740 0.000 0.001
Pr: 0.771 0.000 0.335
Nd: 0.452 0.500 0.838
Nd: 0.500 0.000 0.500
Nd: 0.548 0.500 0.162

Computed properties:
space group: P2/m, No. 10
energy of formation from the pure elements: 1.785 kcal/mol of atoms
size of the total moment: 0.00 μB per formula unit
total DFT energy (no corrections): -4.587 eV/atom
density of states at the Fermi level: 19.52 states/eV/cell